Record 1
VASP calculation (GGA-PBE) on a geometry-optimized Li2IrI structure.

Computed properties:
- total magnetic moment (μB/atom) = 0.0000
- uncorrected energy (eV per cell) = -13.55
- E above lowest polymorph (meV/atom) = 189.6

abc: 4.529 4.529 4.529
angles: 60.00 60.00 60.00
Sites, in units of the cell vectors:
Li (0.250, 0.250, 0.250)
Li (0.750, 0.750, 0.750)
I (0.000, 0.000, 0.000)
Ir (0.500, 0.500, 0.500)


Record 2
VASP calculation (GGA-PBE) on a geometry-optimized Li2IrI structure.

Computed properties:
- total magnetic moment (μB/atom) = 0.0010
- uncorrected energy (eV per cell) = -27.14
- E above lowest polymorph (meV/atom) = 185.2

abc: 7.476 7.476 5.947
angles: 51.06 51.06 90.00
Sites, in units of the cell vectors:
I (0.250, 0.750, 0.500)
I (0.500, 0.500, 0.000)
Li (0.647, 0.125, 0.250)
Li (0.103, 0.625, 0.250)
Li (0.375, 0.353, 0.750)
Li (0.875, 0.897, 0.750)
Ir (0.000, 0.000, 0.000)
Ir (0.750, 0.250, 0.500)


Record 3
VASP calculation (GGA-PBE) on a geometry-optimized LiIrI3 structure.

Computed properties:
- total magnetic moment (μB/atom) = 0.0000
- uncorrected energy (eV per cell) = -15.34
- E above lowest polymorph (meV/atom) = 0.0

abc: 5.494 5.494 5.494
angles: 90.00 90.00 90.00
Sites, in units of the cell vectors:
Li (0.500, 0.500, 0.500)
I (0.000, 0.500, 0.000)
I (0.000, 0.000, 0.500)
I (0.500, 0.000, 0.000)
Ir (0.000, 0.000, 0.000)


Record 4
VASP calculation (GGA-PBE) on a geometry-optimized LiIrI4 structure.

Computed properties:
- total magnetic moment (μB/atom) = 0.0000
- uncorrected energy (eV per cell) = -38.94

abc: 7.252 7.252 8.112
angles: 90.05 90.05 73.56
Sites, in units of the cell vectors:
I (0.204, 0.794, 0.000)
I (0.796, 0.206, 0.000)
I (0.766, 0.766, 0.750)
I (0.766, 0.766, 0.250)
I (0.234, 0.234, 0.250)
I (0.206, 0.796, 0.500)
I (0.794, 0.204, 0.500)
I (0.234, 0.234, 0.750)
Ir (0.000, 0.000, 0.750)
Ir (0.000, 0.000, 0.250)
Li (0.500, 0.000, 0.000)
Li (0.000, 0.500, 0.500)


Record 5
VASP calculation (GGA-PBE) on a geometry-optimized LiIr2I structure.

Computed properties:
- total magnetic moment (μB/atom) = 0.0956
- uncorrected energy (eV per cell) = -18.64
- E above lowest polymorph (meV/atom) = 104.1

abc: 4.500 4.500 4.500
angles: 60.00 60.00 60.00
Last column: magnetic moment on the atom in μB.
Sites, in units of the cell vectors:
Ir (0.250, 0.250, 0.250)  0.19
Ir (0.750, 0.750, 0.750)  0.19
I (0.500, 0.500, 0.500)  0.01
Li (0.000, 0.000, 0.000)  0.00


Record 6
VASP calculation (GGA-PBE) on a geometry-optimized LiIr2I structure.

Computed properties:
- total magnetic moment (μB/atom) = 0.0000
- uncorrected energy (eV per cell) = -38.12
- E above lowest polymorph (meV/atom) = 0.0

abc: 3.943 3.943 9.530
angles: 78.06 78.06 90.00
Sites, in units of the cell vectors:
I (0.000, 0.000, 0.000)
I (0.750, 0.250, 0.500)
Ir (0.875, 0.840, 0.750)
Ir (0.160, 0.625, 0.250)
Ir (0.375, 0.410, 0.750)
Ir (0.590, 0.125, 0.250)
Li (0.250, 0.750, 0.500)
Li (0.500, 0.500, 0.000)


Record 7
VASP calculation (GGA-PBE) on a geometry-optimized LiIrI2N structure.

Computed properties:
- total magnetic moment (μB/atom) = 0.0000
- uncorrected energy (eV per cell) = -15.29
- E above lowest polymorph (meV/atom) = 1393.2

abc: 5.151 5.151 3.461
angles: 90.00 90.00 90.00
Sites, in units of the cell vectors:
Li (0.000, 0.000, 0.000)
N (0.000, 0.000, 0.500)
Ir (0.500, 0.500, 0.500)
I (0.000, 0.500, 0.000)
I (0.500, 0.000, 0.000)


Record 8
VASP calculation (GGA-PBE) on a geometry-optimized LiIrI2N structure.

Computed properties:
- total magnetic moment (μB/atom) = 0.0000
- uncorrected energy (eV per cell) = -22.25
- E above lowest polymorph (meV/atom) = 0.0

abc: 5.721 5.721 3.735
angles: 90.00 90.00 90.00
Sites, in units of the cell vectors:
N (0.000, 0.000, 0.500)
I (0.000, 0.500, 0.000)
I (0.500, 0.000, 0.000)
Li (0.500, 0.500, 0.500)
Ir (0.000, 0.000, 0.000)


Record 9
VASP calculation (GGA-PBE) on a geometry-optimized LiNb2IrI structure.

Computed properties:
- total magnetic moment (μB/atom) = 0.5103
- uncorrected energy (eV per cell) = -27.44

abc: 4.907 5.783 4.907
angles: 90.00 90.00 90.00
Last column: magnetic moment on the atom in μB.
Sites, in units of the cell vectors:
Nb (0.500, 0.000, 0.000)  0.99
Nb (0.000, 0.000, 0.500)  0.85
Ir (0.000, 0.000, 0.000)  0.02
Li (0.500, 0.500, 0.500)  0.01
I (0.000, 0.500, 0.000)  0.01


Record 10
VASP calculation (GGA-PBE) on a geometry-optimized LiIrIO6 structure.

Computed properties:
- total magnetic moment (μB/atom) = 0.1165
- uncorrected energy (eV per cell) = -97.05

abc: 5.245 5.245 9.348
angles: 90.00 90.00 120.00
Last column: magnetic moment on the atom in μB.
Sites, in units of the cell vectors:
O (0.643, 0.642, 0.137)  0.06
O (0.358, 0.001, 0.137)  0.06
O (0.642, 0.999, 0.863)  0.06
O (0.642, 0.643, 0.637)  0.06
O (0.001, 0.643, 0.863)  0.06
O (0.357, 0.358, 0.863)  0.06
O (0.999, 0.357, 0.137)  0.06
O (0.643, 0.001, 0.363)  0.06
O (0.001, 0.358, 0.637)  0.06
O (0.999, 0.642, 0.363)  0.06
O (0.358, 0.357, 0.363)  0.06
O (0.357, 0.999, 0.637)  0.06
I (0.667, 0.333, 0.250)  0.00
I (0.333, 0.667, 0.750)  0.00
Ir (0.333, 0.667, 0.250)  0.60
Ir (0.667, 0.333, 0.750)  0.60
Li (0.000, 0.000, 0.500)  0.00
Li (0.000, 0.000, 0.000)  0.00


Record 11
VASP calculation (GGA-PBE) on a geometry-optimized Li2IrIO6 structure.

Computed properties:
- total magnetic moment (μB/atom) = 0.0276
- uncorrected energy (eV per cell) = -51.37

abc: 3.925 5.736 5.736
angles: 90.00 90.00 90.00
Last column: magnetic moment on the atom in μB.
Sites, in units of the cell vectors:
O (0.738, 0.249, 0.249)  0.00
O (0.204, 0.500, 0.500)  0.08
O (0.738, 0.249, 0.751)  0.00
O (0.738, 0.751, 0.249)  0.00
O (0.201, 0.000, 0.000)  0.01
O (0.738, 0.751, 0.751)  0.00
Li (0.863, 0.000, 0.500)  0.00
Li (0.863, 0.500, 0.000)  0.00
I (0.671, 0.000, 0.000)  0.00
Ir (0.693, 0.500, 0.500)  0.15


Record 12
VASP calculation (GGA-PBE) on a geometry-optimized LiIrIO2 structure.

Computed properties:
- total magnetic moment (μB/atom) = 0.0000
- uncorrected energy (eV per cell) = -18.41
- E above lowest polymorph (meV/atom) = 1422.8

abc: 3.782 3.782 5.179
angles: 90.00 90.00 90.00
Sites, in units of the cell vectors:
Ir (0.500, 0.500, 0.500)
O (0.500, 0.000, 0.000)
O (0.000, 0.500, 0.000)
Li (0.000, 0.000, 0.000)
I (0.000, 0.000, 0.500)